The following is a PBE calculation of a relaxed Zr2ScHg crystal, from Alexandria via LeMat-Bulk.

Computed properties:
Its symmetry is No. 99.

Structure (POSCAR):
```
Zr2ScHg
1.0
-1.087 0.125 -3.061
-2.964 -0.863 1.017
-2.032 8.225 1.057
Sc Zr Hg
1 2 1
direct
0.500 0.500 0.741
0.000 0.000 0.997
0.500 0.500 0.256
0.000 0.000 0.506
```

=====

The following is a PBE calculation of a relaxed Zr2ScHg crystal, from Alexandria via LeMat-Bulk.

Computed properties:
Its symmetry is No. 216.

Structure (POSCAR):
```
Zr2ScHg
1.0
-0.232 -3.860 3.178
4.098 -1.446 2.483
0.349 0.793 4.930
Sc Hg Zr
1 1 2
direct
0.750 0.750 0.750
0.500 0.500 0.500
0.250 0.250 0.250
0.000 0.000 0.000
```

=====

The following is a PBE calculation of a relaxed Zr2ScHg crystal, from Alexandria via LeMat-Bulk.

Computed properties:
Its symmetry is No. 10.

Structure (POSCAR):
```
Zr2ScHg
1.0
-2.974 -3.189 3.245
1.956 -2.394 -0.559
3.200 1.137 4.052
Hg Zr Sc
1 2 1
direct
0.500 0.250 0.250
0.000 0.451 0.501
0.000 0.049 0.999
0.500 0.750 0.750
```

=====

The following is a PBE calculation of a relaxed ZrSc4Hg3 crystal, from Alexandria via LeMat-Bulk.

Computed properties:
Its symmetry is No. 123.

Structure (POSCAR):
```
ZrSc4Hg3
1.0
3.398 0.000 0.000
0.000 3.398 0.000
0.000 0.000 15.438
Hg Sc Zr
3 4 1
direct
0.500 0.500 0.743
0.500 0.500 0.257
0.500 0.500 0.500
0.000 0.000 0.380
0.000 0.000 0.135
0.000 0.000 0.620
0.000 0.000 0.865
0.500 0.500 0.000
```

=====

no.,V (Å³/cell),size of the total moment (μB per formula unit),VASP energy (eV/atom)
1,90.2,0.00,-6.10
2,88.7,1.61,-5.91
3,90.0,0.00,-5.99
4,178.2,0.39,-4.67